(1)
Here is crystalline Pm3CdGe at its relaxed geometry from Alexandria via LeMat-Bulk. Energies are from PBE.

Geometry as POSCAR:
```
Pm3CdGe
1.0
-0.3705 1.7769 -4.1753
-7.1612 1.1693 1.1332
1.9016 8.3611 3.3896
Pm Ge Cd
6 2 2
Cartesian
-5.5012 2.8585 -2.0185
-0.1289 8.4488 2.3661
-3.0065 3.7820 0.6354
-6.1260 8.0972 0.2665
0.4959 3.2102 0.0810
-2.6236 7.5253 -0.2878
-4.8889 5.5509 -0.9270
-0.7412 5.7564 1.2746
-1.7695 2.9382 -2.3158
-3.8606 8.3691 2.6634
```

Output
The value obtained for the formation energy is -9.13 kcal/mol of atoms. The value obtained for the total magnetic moment is 0.00 μB/f.u. The total energy is -0.1600 hartree per atom. The symmetry is No. 59.

(2)
Here is crystalline Tb3Ce2Te8 at its relaxed geometry from Alexandria via LeMat-Bulk. Energies are from PBE.

Geometry as POSCAR:
```
Tb3Ce2Te8
1.0
-7.0799 2.4191 -0.5035
0.3550 -0.7658 -8.6710
-0.2879 -7.5096 5.0280
Te Ce Tb
8 2 3
Cartesian
-4.1516 -4.7487 -1.9899
-2.8613 -1.1075 -2.1565
-2.6796 -1.4993 -6.5932
-6.1366 0.0020 -4.6280
-0.8762 -5.8582 0.4815
-4.3332 -4.3569 2.4468
-0.5108 -6.1937 -3.8505
-6.5021 0.3375 -0.2960
-2.3686 -3.1991 0.1856
-4.6442 -2.6571 -4.3320
-3.5400 1.2096 -0.2517
0.0914 -0.1971 -2.2315
0.2636 -0.5687 -6.4394
```

Output
The value obtained for the total magnetic moment is 1.01 μB/f.u. The total energy is -0.1911 hartree per atom. The symmetry is No. 12.

(3)
Here is crystalline RbMn2Pt at its relaxed geometry from Alexandria via LeMat-Bulk. Energies are from PBE.

Geometry as POSCAR:
```
RbMn2Pt
1.0
5.5546 0.0000 0.0000
0.0000 5.5546 0.0000
2.7773 2.7773 8.3928
Pt Mn Rb
2 4 2
Cartesian
5.5546 2.7773 4.1964
0.0000 0.0000 0.0000
5.5542 4.1660 2.0982
6.9433 2.7777 6.2946
5.5550 1.3887 2.0982
4.1660 2.7769 6.2946
2.7773 5.5546 4.1964
2.7773 2.7773 0.0000
```

Output
The value obtained for the formation energy is 13.81 kcal/mol of atoms. The value obtained for the total magnetic moment is 8.92 μB/f.u. The total energy is -0.2109 hartree per atom. The energy above the most stable polymorph in this dataset comes out at 0.0 meV/atom. The symmetry is No. 141.

(4)
Here is crystalline YZn2Br at its relaxed geometry from Alexandria via LeMat-Bulk. Energies are from PBE.

Geometry as POSCAR:
```
YZn2Br
1.0
5.1264 0.0000 0.0000
0.0000 3.6095 -0.0045
0.0000 0.0057 5.1956
Y Br Zn
1 1 2
Cartesian
2.5632 2.2578 3.8610
0.0000 2.2622 2.7508
0.0000 0.4514 0.0708
2.5632 0.4515 1.1040
```

Output
The value obtained for the total magnetic moment is 0.00 μB/f.u. The total energy is -0.1106 hartree per atom. The energy above the most stable polymorph in this dataset comes out at 122.5 meV/atom. The symmetry is No. 6.

(5)
Here is crystalline CaTm3Ir at its relaxed geometry from Alexandria via LeMat-Bulk. Energies are from PBE.

Geometry as POSCAR:
```
CaTm3Ir
1.0
-1.5839 2.7097 4.4055
-1.4607 -4.6543 2.3376
4.9616 -0.5052 2.0946
Ir Ca Tm
1 1 3
Cartesian
0.0000 0.0000 0.0000
0.9585 -1.2249 4.4188
2.4808 -0.2526 1.0473
-0.7920 1.3549 2.2028
-0.7304 -2.3271 1.1688
```

Output
The value obtained for the formation energy is -8.30 kcal/mol of atoms. The value obtained for the total magnetic moment is 0.00 μB/f.u. The total energy is -0.1917 hartree per atom. The symmetry is No. 221.

(6)
Here is crystalline Ba5Zr at its relaxed geometry from Alexandria via LeMat-Bulk. Energies are from PBE.

Geometry as POSCAR:
```
Ba5Zr
1.0
-2.1826 -3.3598 1.0928
2.9554 -2.4401 -1.5992
8.4482 -0.2741 16.0310
Ba Zr
5 1
Cartesian
7.3949 -0.2399 14.0323
6.2098 -3.0889 10.7972
1.0533 -0.0342 1.9987
4.2241 -0.1371 8.0155
3.0112 -2.9851 4.7274
0.3864 -2.9000 -0.2532
```

Output
The value obtained for the formation energy is 7.54 kcal/mol of atoms. The value obtained for the total magnetic moment is 0.56 μB/f.u. The total energy is -0.0992 hartree per atom. The energy above the most stable polymorph in this dataset comes out at 0.0 meV/atom. The symmetry is No. 123.

(7)
Here is crystalline Li6Ca12Al at its relaxed geometry from Alexandria via LeMat-Bulk. Energies are from PBE.

Geometry as POSCAR:
```
Li6Ca12Al
1.0
-6.1155 6.0037 -1.0082
-3.9615 -4.5531 -6.1673
-5.2229 -3.8467 5.6907
Ca Li Al
12 6 1
Cartesian
-2.9786 1.5114 0.4221
-5.9604 -3.0342 0.1659
-12.9394 -1.6325 0.7910
-8.6940 -3.0887 -2.2872
-12.3212 -3.9076 -1.9069
-2.4977 -1.9750 1.0932
-12.8021 -0.4212 -2.5781
-6.0599 -0.5754 -2.7760
-9.2399 -1.8208 1.2912
-9.3395 0.6381 -1.6508
-6.6058 0.6925 0.8024
-2.3604 -0.7637 -2.2758
-9.4347 -0.6189 -4.9257
-6.1015 2.9840 -1.8070
-10.4101 1.4505 1.7849
-5.8651 -1.7772 3.4409
-9.1983 -5.3801 0.3222
-4.8897 -3.8467 -3.2697
0.0000 0.0000 0.0000
```

Output
The value obtained for the formation energy is 1.07 kcal/mol of atoms. The value obtained for the total magnetic moment is 0.00 μB/f.u. The total energy is -0.0742 hartree per atom. The symmetry is No. 148.

(8)
Here is crystalline RbHo2Se at its relaxed geometry from Alexandria via LeMat-Bulk. Energies are from PBE.

Geometry as POSCAR:
```
RbHo2Se
1.0
-2.0868 -3.2038 -0.6303
0.3393 -3.0341 2.3866
-8.7090 1.9730 6.8924
Ho Rb Se
2 1 1
Cartesian
-4.5576 -4.8367 3.9372
-5.8989 0.5718 4.7115
0.0000 0.0000 0.0000
-5.2283 -2.1325 4.3243
```

Output
The value obtained for the total magnetic moment is 0.00 μB/f.u. The total energy is -0.1440 hartree per atom. The symmetry is No. 166.